[1]
This record from Alexandria describes Rb2TiTlO4 after structural relaxation. The functional is PBE.

final energy: -5.866 eV/atom

abc: 6.1261 6.1261 9.0661
angles: 90.00 90.00 90.00
Closest atoms and distances in Å follow each position.
Space group I-4 (No. 82)
Inequivalent atoms, fractional coordinates:
Rb1 0.0000 0.0000 0.0000 x2  4 O 2.81
Rb2 0.0000 0.5000 0.2500 x2  4 O 2.98
Ti1 0.0000 0.5000 0.7500 x2  4 O 1.85
Tl1 0.0000 0.0000 0.5000 x2  4 O 2.37
O1 0.1465 0.7070 0.6399 x8  1 Ti 1.85

***

[2]
This record from Alexandria describes CeHoErSc after structural relaxation. The functional is PBE.

ΔH_f (0 K): 134.3 meV/atom
final energy: -5.217 eV/atom

abc: 7.7758 7.7758 7.7758
angles: 90.00 90.00 90.00
Closest atoms and distances in Å follow each position.
Space group F-43m (No. 216)
Inequivalent atoms, fractional coordinates:
Ce1 0.0000 0.0000 0.0000 x4  4 Sc 3.37, 4 Er 3.37
Ho1 0.0000 0.0000 0.5000 x4  4 Er 3.37, 4 Sc 3.37
Er1 0.2500 0.2500 0.2500 x4  4 Ce 3.37, 4 Ho 3.37
Sc1 0.2500 0.2500 0.7500 x4  4 Ho 3.37, 4 Ce 3.37

***

[3]
This record from Alexandria describes Mn3NiS after structural relaxation. The functional is PBE.

final energy: -6.785 eV/atom

abc: 4.5126 4.5126 4.5126
angles: 90.00 90.00 90.00
Closest atoms and distances in Å follow each position.
Space group Pm-3m (No. 221)
Inequivalent atoms, fractional coordinates:
Mn1 0.0000 0.0000 0.5000 x3  2 Ni 2.26
Ni1 0.0000 0.0000 0.0000 x1  6 Mn 2.26
S1 0.5000 0.5000 0.5000 x1  12 Mn 3.19

***

[4]
This record from Alexandria describes LiWAu2 after structural relaxation. The functional is PBE.

ΔH_f (0 K): 136.5 meV/atom
final energy: -5.219 eV/atom

abc: 2.8643 2.8643 27.7306
angles: 90.00 90.00 120.00
Closest atoms and distances in Å follow each position.
Space group R-3m (No. 166, hexagonal axes)
Inequivalent atoms, fractional coordinates:
Li1 0.0000 0.0000 0.0000 x3  6 Au 2.78, 6 Li 2.86
W1 0.0000 0.0000 0.5000 x3  6 W 2.86, 6 Au 2.90
Au1 0.0000 0.0000 0.2527 x6  3 Li 2.78, 6 Au 2.86, 3 W 2.90

***

Repeat the third record exactly.
This record from Alexandria describes Mn3NiS after structural relaxation. The functional is PBE.

final energy: -6.785 eV/atom

abc: 4.5126 4.5126 4.5126
angles: 90.00 90.00 90.00
Closest atoms and distances in Å follow each position.
Space group Pm-3m (No. 221)
Inequivalent atoms, fractional coordinates:
Mn1 0.0000 0.0000 0.5000 x3  2 Ni 2.26
Ni1 0.0000 0.0000 0.0000 x1  6 Mn 2.26
S1 0.5000 0.5000 0.5000 x1  12 Mn 3.19

***

Question: Which value of final energy does entry 4 give?
Answer: -5.219 eV/atom

***

Please write out number 2 again, unchanged.
This record from Alexandria describes CeHoErSc after structural relaxation. The functional is PBE.

ΔH_f (0 K): 134.3 meV/atom
final energy: -5.217 eV/atom

abc: 7.7758 7.7758 7.7758
angles: 90.00 90.00 90.00
Closest atoms and distances in Å follow each position.
Space group F-43m (No. 216)
Inequivalent atoms, fractional coordinates:
Ce1 0.0000 0.0000 0.0000 x4  4 Sc 3.37, 4 Er 3.37
Ho1 0.0000 0.0000 0.5000 x4  4 Er 3.37, 4 Sc 3.37
Er1 0.2500 0.2500 0.2500 x4  4 Ce 3.37, 4 Ho 3.37
Sc1 0.2500 0.2500 0.7500 x4  4 Ho 3.37, 4 Ce 3.37

***

Question: Which value of final energy does entry 2 give?
Answer: -5.217 eV/atom